Arrangement P

Cs4SI2 after structural relaxation. Source: Alexandria via LeMat-Bulk, functional GGA-PBE.

```
Cs4SI2
1.0
-4.761 3.428 -3.099
-4.574 -2.862 3.861
-3.684 7.622 6.987
Cs S I
4 1 2
direct
0.000 0.500 0.000
0.500 0.000 0.000
0.835 0.835 0.331
0.165 0.165 0.669
0.000 0.000 0.000
0.638 0.638 0.723
0.362 0.362 0.277
```

Output
M_tot: 0.0 μB/f.u.

Arrangement Q

Cs4SI2 after structural relaxation. Source: Alexandria via LeMat-Bulk, functional GGA-PBE.

```
Cs4SI2
1.0
-2.248 -0.501 -4.552
-6.683 -5.929 1.094
-9.052 4.270 1.142
Cs I S
4 2 1
direct
0.961 0.734 0.344
0.039 0.266 0.656
0.351 0.227 0.071
0.649 0.773 0.929
0.352 0.613 0.683
0.648 0.387 0.317
0.000 0.000 0.000
```

Output
M_tot: 0.2 μB/f.u.
Density of states at the Fermi level: 0.0000 states/eV/atom

Stability comparison, relative energies in meV per atom: arrangement P 35; arrangement Q 0

Arrangement P

Cs12S3I5 after structural relaxation. Source: Alexandria via LeMat-Bulk, functional GGA-PBE.

```
Cs12S3I5
1.0
5.346 0.000 0.000
0.000 13.849 -7.995
0.000 0.000 15.991
Cs I S
12 5 3
direct
0.500 0.557 0.760
0.000 0.000 0.539
0.000 0.000 0.811
0.500 0.203 0.443
0.000 0.811 0.000
0.500 0.797 0.240
0.000 0.461 0.461
0.500 0.240 0.797
0.000 0.539 0.000
0.500 0.760 0.557
0.500 0.443 0.203
0.000 0.189 0.189
0.000 0.667 0.333
0.000 0.706 0.706
0.000 0.294 0.000
0.000 0.000 0.294
0.000 0.333 0.667
0.500 0.000 0.668
0.500 0.332 0.332
0.500 0.668 0.000
```

Output
M_tot: 0.2 μB/f.u.
Density of states at the Fermi level: 0.1294 states/eV/atom

Arrangement Q

Cs12S3I5 after structural relaxation. Source: Alexandria via LeMat-Bulk, functional GGA-PBE.

```
Cs12S3I5
1.0
-15.216 -10.806 -1.281
14.709 -9.068 -7.166
3.300 4.017 17.970
Cs S I
48 12 20
direct
0.610 0.742 0.670
0.132 0.742 0.571
0.571 0.242 0.132
0.830 0.940 0.071
0.742 0.132 0.071
0.929 0.368 0.258
0.429 0.670 0.060
0.632 0.071 0.242
0.330 0.758 0.390
0.110 0.170 0.242
0.742 0.610 0.170
0.258 0.390 0.830
0.258 0.868 0.929
0.368 0.929 0.758
0.868 0.610 0.940
0.632 0.560 0.890
0.110 0.940 0.368
0.940 0.830 0.571
0.242 0.571 0.632
0.368 0.440 0.110
0.170 0.060 0.929
0.330 0.571 0.440
0.071 0.632 0.742
0.560 0.632 0.390
0.071 0.440 0.830
0.560 0.929 0.670
0.440 0.071 0.330
0.440 0.368 0.610
0.929 0.560 0.170
0.670 0.242 0.610
0.610 0.868 0.440
0.940 0.110 0.868
0.132 0.390 0.060
0.830 0.890 0.258
0.571 0.330 0.940
0.390 0.258 0.330
0.868 0.258 0.429
0.242 0.670 0.110
0.890 0.830 0.758
0.429 0.758 0.868
0.758 0.429 0.368
0.890 0.060 0.632
0.170 0.110 0.742
0.758 0.330 0.890
0.060 0.170 0.429
0.060 0.890 0.132
0.390 0.132 0.560
0.670 0.429 0.560
0.750 0.375 0.125
0.375 0.625 0.250
0.625 0.375 0.750
0.250 0.125 0.375
0.375 0.750 0.625
0.250 0.625 0.875
0.875 0.125 0.250
0.125 0.250 0.875
0.625 0.250 0.375
0.750 0.875 0.625
0.125 0.875 0.750
0.875 0.750 0.125
0.125 0.375 0.250
0.000 0.500 0.500
0.000 0.500 0.000
0.375 0.250 0.125
0.250 0.375 0.625
0.750 0.625 0.375
0.500 0.000 0.500
0.625 0.750 0.875
0.875 0.250 0.625
0.500 0.000 0.000
0.000 0.000 0.000
0.875 0.625 0.750
0.625 0.875 0.250
0.000 0.000 0.500
0.375 0.125 0.750
0.750 0.125 0.875
0.250 0.875 0.125
0.500 0.500 0.500
0.500 0.500 0.000
0.125 0.750 0.375
```

Output
M_tot: 0.0 μB/f.u.
Density of states at the Fermi level: 0.1130 states/eV/atom

Stability comparison, relative energies in meV per atom: arrangement P 0; arrangement Q 136

Arrangement P

CsTeSI2 after structural relaxation. Source: Alexandria via LeMat-Bulk, functional GGA-PBE.

```
CsTeSI2
1.0
6.008 0.000 0.000
0.000 6.008 0.000
0.000 0.000 5.363
Cs Te S I
1 1 1 2
direct
0.500 0.500 0.500
0.000 0.000 0.500
0.000 0.000 0.000
0.000 0.500 0.000
0.500 0.000 0.000
```

Output
M_tot: 1.1 μB/f.u.
Density of states at the Fermi level: 0.9447 states/eV/atom

Arrangement Q

CsTeSI2 after structural relaxation. Source: Alexandria via LeMat-Bulk, functional GGA-PBE.

```
CsTeSI2
1.0
-5.085 -3.258 -2.016
1.598 -4.848 3.805
-2.785 2.026 3.751
I Cs Te S
2 1 1 1
direct
0.500 0.000 0.000
0.000 0.500 0.000
0.500 0.500 0.500
0.000 0.000 0.000
0.000 0.000 0.500
```

Output
M_tot: 0.0 μB/f.u.
Density of states at the Fermi level: 0.2248 states/eV/atom

Arrangement R

CsTeSI2 after structural relaxation. Source: Alexandria via LeMat-Bulk, functional GGA-PBE.

```
CsTeSI2
1.0
-0.979 -1.221 -7.183
-6.880 -2.231 1.317
-2.522 7.253 -0.889
I Cs S Te
2 1 1 1
direct
0.000 0.500 0.000
0.500 0.000 0.000
0.000 0.000 0.000
0.500 0.500 0.500
0.000 0.000 0.500
```

Output
M_tot: 5.1 μB/f.u.
Density of states at the Fermi level: 2.7589 states/eV/atom

Stability comparison, relative energies in meV per atom: arrangement P 241; arrangement Q 0; arrangement R 1224

Arrangement P

Cs2SbI after structural relaxation. Source: Alexandria via LeMat-Bulk, functional GGA-PBE.

```
Cs2SbI
1.0
0.291 -0.469 6.622
0.303 5.504 3.710
-5.220 1.810 3.692
Cs I Sb
2 1 1
direct
0.750 0.750 0.750
0.250 0.250 0.250
0.500 0.500 0.500
0.000 0.000 0.000
```

Output
M_tot: 2.0 μB/f.u.
Density of states at the Fermi level: 1.5656 states/eV/atom

Arrangement Q

Cs2SbI after structural relaxation. Source: Alexandria via LeMat-Bulk, functional GGA-PBE.

```
Cs2SbI
1.0
2.214 2.958 7.472
-7.819 -1.615 -2.394
3.452 -7.587 0.007
Cs I Sb
4 2 2
direct
0.365 0.375 0.490
0.625 0.115 0.990
0.125 0.635 0.010
0.885 0.875 0.510
0.250 0.750 0.500
0.000 0.000 0.000
0.750 0.250 0.500
0.500 0.500 0.000
```

Output
M_tot: 0.8 μB/f.u.
Density of states at the Fermi level: 0.9827 states/eV/atom

Stability comparison, relative energies in meV per atom: arrangement P 0; arrangement Q 95